First-principles (PBE) data for a relaxed structure of Sn3BAu, as listed in the Alexandria database.

```
5
Lattice="4.809 0.000 0.000 0.000 4.809 0.000 0.000 0.000 4.809" Properties=species:S:1:pos:R:3 pbc="T T T"
Sn 0.000 0.000 2.404
Sn 0.000 2.404 0.000
Sn 2.404 0.000 0.000
B 0.000 0.000 0.000
Au 2.404 2.404 2.404
```

Output
Formation enthalpy at 0 K: 0.54 eV/atom
Calculated density: 8.42 g/cm³
Size of the total moment: 0.00 μB per formula unit
Space-group type: No. 221
D(E_F): 2.110 states/eV/f.u.